Here is a relaxed structure of Cr3SiSn from Alexandria. Energies are from GGA-PBE.

Cell: 5.0174 5.0174 5.0174 Å, 90.00 90.00 90.00°
Last column: magnetic moment on the atom in μB.
Sites, in units of the cell vectors:
Cr 0.0000 0.5000 0.0000  3.58
Cr 0.0000 0.0000 0.5000  3.82
Cr 0.5000 0.0000 0.0000  3.31
Sn 0.0000 0.0000 0.0000  -0.20
Si 0.5000 0.5000 0.5000  -0.20

Properties
Density of states at the Fermi level, states/eV per atom: 1.2892
Raw total energy, eV per atom: -6.11
Calculated volume, Å³ per cell: 126.31
Formation energy from raw total energies, eV per atom: 1.547
Relative energy among the computed polymorphs, meV/atom: 741
SG: Pm-3m (221)

Here is a relaxed structure of Pr6NdZn2 from Alexandria. Energies are from GGA-PBE.

Cell: 3.7829 6.7378 11.9662 Å, 76.31 80.91 73.70°
Sites, in units of the cell vectors:
Pr 0.3123 0.7842 0.5912
Pr 0.0277 0.2721 0.6725
Pr 0.6885 0.4979 0.1251
Pr 0.9723 0.7279 0.3275
Pr 0.3115 0.5021 0.8749
Pr 0.6877 0.2158 0.4088
Zn 0.6476 0.9047 0.8001
Zn 0.3524 0.0953 0.1999
Nd 0.0000 0.0000 0.0000

Properties
Density of states at the Fermi level, states/eV per atom: 1.0761
Raw total energy, eV per atom: -4.13
Calculated volume, Å³ per cell: 283.04
Relative energy among the computed polymorphs, meV/atom: 0
DFT formation energy, eV/atom: -0.130
SG: C2/m (12)

Here is a relaxed structure of Ho2TmTe3 from Alexandria. Energies are from GGA-PBE.

Cell: 4.3555 6.0924 7.4654 Å, 114.08 106.96 90.00°
Sites, in units of the cell vectors:
Tm 0.5000 0.5000 0.5000
Te 0.5000 0.0000 0.5000
Te 0.8364 0.3364 0.1728
Te 0.1636 0.6636 0.8272
Ho 0.8295 0.8295 0.1591
Ho 0.1705 0.1705 0.8409

Properties
Density of states at the Fermi level, states/eV per atom: 0.4454
Raw total energy, eV per atom: -5.06
Calculated volume, Å³ per cell: 171.37
Formation energy from raw total energies, eV per atom: -1.218
Relative energy among the computed polymorphs, meV/atom: 29
SG: Immm (71)

Here is a relaxed structure of Dy2Er12Th5 from Alexandria. Energies are from GGA-PBE.

Cell: 9.1734 9.1734 7.8013 Å, 91.00 91.00 68.25°
Sites, in units of the cell vectors:
Th 0.2397 0.2397 0.4888
Th 0.6544 0.6544 0.0837
Th 0.3456 0.3456 0.9163
Th 0.0000 0.0000 0.5000
Th 0.7603 0.7603 0.5112
Er 0.9564 0.4303 0.7974
Er 0.4488 0.4488 0.2947
Er 0.0436 0.5697 0.2026
Er 0.1673 0.6154 0.6082
Er 0.8327 0.3846 0.3918
Er 0.6154 0.1673 0.6082
Er 0.3846 0.8327 0.3918
Er 0.4303 0.9564 0.7974
Er 0.8606 0.8606 0.8896
Er 0.5697 0.0436 0.2026
Er 0.5512 0.5512 0.7053
Er 0.1394 0.1394 0.1104
Dy 0.7398 0.2602 0.0000
Dy 0.2602 0.7398 0.0000

Properties
Density of states at the Fermi level, states/eV per atom: 1.5214
Raw total energy, eV per atom: -5.17
Calculated volume, Å³ per cell: 609.60
Relative energy among the computed polymorphs, meV/atom: 0
DFT formation energy, eV/atom: 0.153
SG: C2/m (12)

Here is a relaxed structure of NpHPt from Alexandria. Energies are from GGA-PBE.

Cell: 3.8307 3.8284 3.8284 Å, 120.00 90.00 90.00°
Last column: magnetic moment on the atom in μB.
Sites, in units of the cell vectors:
H 0.5015 0.6667 0.3333  -0.02
Np 0.4991 0.3333 0.6667  3.59
Pt 0.9994 0.0000 0.0000  -0.07

Properties
Density of states at the Fermi level, states/eV per atom: 2.1434
Raw total energy, eV per atom: -7.67
Calculated volume, Å³ per cell: 48.62
Relative energy among the computed polymorphs, meV/atom: 0
SG: P3m1 (156)

Here is a relaxed structure of Ba2Bi2Ir from Alexandria. Energies are from GGA-PBE.

Cell: 7.6211 7.6211 5.5539 Å, 90.00 90.00 90.00°
Sites, in units of the cell vectors:
Ba 0.6680 0.8320 0.5000
Ba 0.3320 0.1680 0.5000
Ba 0.1680 0.6680 0.5000
Ba 0.8320 0.3320 0.5000
Bi 0.8497 0.6503 0.0000
Bi 0.1503 0.3497 0.0000
Bi 0.3497 0.8497 0.0000
Bi 0.6503 0.1503 0.0000
Ir 0.0000 0.0000 0.0000
Ir 0.5000 0.5000 0.0000

Properties
Density of states at the Fermi level, states/eV per atom: 0.5909
Raw total energy, eV per atom: -4.42
Calculated volume, Å³ per cell: 322.58
Relative energy among the computed polymorphs, meV/atom: 0
DFT formation energy, eV/atom: -0.328
SG: P4/mbm (127)

Here is a relaxed structure of AlTlBi3 from Alexandria. Energies are from GGA-PBE.

Cell: 5.5604 5.5604 5.5604 Å, 90.00 90.00 90.00°
Sites, in units of the cell vectors:
Bi 0.0000 0.5000 0.0000
Bi 0.0000 0.0000 0.5000
Bi 0.5000 0.0000 0.0000
Al 0.0000 0.0000 0.0000
Tl 0.5000 0.5000 0.5000

Properties
Density of states at the Fermi level, states/eV per atom: 0.8636
Raw total energy, eV per atom: -3.20
Calculated volume, Å³ per cell: 171.92
Relative energy among the computed polymorphs, meV/atom: 0
DFT formation energy, eV/atom: 0.349
SG: Pm-3m (221)

Here is a relaxed structure of TlCu2Pd2 from Alexandria. Energies are from GGA-PBE.

Cell: 7.3247 7.3247 3.0465 Å, 90.00 90.00 90.00°
Sites, in units of the cell vectors:
Pd 0.1380 0.3620 0.0000
Pd 0.6380 0.1380 0.0000
Pd 0.3620 0.8620 0.0000
Pd 0.8620 0.6380 0.0000
Cu 0.3449 0.1551 0.5000
Cu 0.6551 0.8449 0.5000
Cu 0.1551 0.6551 0.5000
Cu 0.8449 0.3449 0.5000
Tl 0.5000 0.5000 0.0000
Tl 0.0000 0.0000 0.0000

Properties
Density of states at the Fermi level, states/eV per atom: 0.3222
Raw total energy, eV per atom: -4.19
Calculated volume, Å³ per cell: 163.44
Relative energy among the computed polymorphs, meV/atom: 6
DFT formation energy, eV/atom: 0.001
SG: P4/mbm (127)

Here is a relaxed structure of Tl2BiTe2 from Alexandria. Energies are from GGA-PBE.

Cell: 8.5885 8.5885 4.8114 Å, 90.00 90.00 90.00°
Sites, in units of the cell vectors:
Tl 0.1392 0.6392 0.5000
Tl 0.6392 0.8608 0.5000
Tl 0.3608 0.1392 0.5000
Tl 0.8608 0.3608 0.5000
Te 0.1729 0.3271 0.0000
Te 0.8271 0.6729 0.0000
Te 0.6729 0.1729 0.0000
Te 0.3271 0.8271 0.0000
Bi 0.5000 0.5000 0.0000
Bi 0.0000 0.0000 0.0000

Properties
Density of states at the Fermi level, states/eV per atom: 0.3358
Raw total energy, eV per atom: -3.13
Calculated volume, Å³ per cell: 354.90
Formation energy from raw total energies, eV per atom: -0.146
Relative energy among the computed polymorphs, meV/atom: 18
SG: P4/mbm (127)

Here is a relaxed structure of AlCdSbTe2 from Alexandria. Energies are from GGA-PBE.

Cell: 5.3879 5.3879 5.3233 Å, 90.00 90.00 90.00°
Sites, in units of the cell vectors:
Te 0.0000 0.5000 0.0000
Te 0.5000 0.0000 0.0000
Al 0.0000 0.0000 0.0000
Sb 0.0000 0.0000 0.5000
Cd 0.5000 0.5000 0.5000

Properties
Density of states at the Fermi level, states/eV per atom: 1.2378
Raw total energy, eV per atom: -2.68
Calculated volume, Å³ per cell: 154.53
Formation energy from raw total energies, eV per atom: 0.336
Relative energy among the computed polymorphs, meV/atom: 0
SG: P4/mmm (123)

Here is a relaxed structure of LiCeGa3 from Alexandria. Energies are from GGA-PBE.

Cell: 4.2833 4.2976 11.1177 Å, 101.14 101.08 90.00°
Last column: magnetic moment on the atom in μB.
Sites, in units of the cell vectors:
Li 0.6049 0.8543 0.7086  0.00
Li 0.3951 0.1457 0.2914  0.00
Ga 0.7191 0.9692 0.9384  -0.01
Ga 0.5420 0.2932 0.5864  0.00
Ga 0.2809 0.0308 0.0616  -0.01
Ga 0.9563 0.2072 0.4143  -0.01
Ga 0.4580 0.7068 0.4136  0.00
Ga 0.0437 0.7928 0.5857  -0.01
Ce 0.1655 0.4154 0.8307  0.64
Ce 0.8345 0.5846 0.1693  0.64

Properties
Density of states at the Fermi level, states/eV per atom: 1.3330
Raw total energy, eV per atom: -3.73
Calculated volume, Å³ per cell: 196.91
DFT formation energy, eV/atom: -0.343
SG: C2/m (12)

Here is a relaxed structure of Pr2InCu4Ge3 from Alexandria. Energies are from GGA-PBE.

Cell: 4.2384 4.2384 10.4797 Å, 90.00 90.00 90.00°
Sites, in units of the cell vectors:
In 0.5000 0.5000 0.5000
Ge 0.0000 0.0000 0.5000
Ge 0.0000 0.5000 0.1248
Ge 0.5000 0.0000 0.8752
Cu 0.0000 0.0000 0.0000
Cu 0.5000 0.5000 0.0000
Cu 0.5000 0.0000 0.6462
Cu 0.0000 0.5000 0.3538
Pr 0.0000 0.5000 0.7665
Pr 0.5000 0.0000 0.2335

Properties
Density of states at the Fermi level, states/eV per atom: 0.4535
Raw total energy, eV per atom: -4.72
Calculated volume, Å³ per cell: 188.26
DFT formation energy, eV/atom: -0.467
SG: P-4m2 (115)